Computed, not measured: a relaxed structure of AgMoOs2 at the PBE level of DFT.

abc: 3.8768 3.8768 8.1226
angles: 90.00 90.00 90.00
Last column: nearest neighbours and their distance in Å.
Atoms (fractional coordinates):
Ag (0.0000, 0.0000, 0.0000)  8 Os 2.74-2.81, 4 Mo 2.81
Ag (0.5000, 0.5000, 0.5000)  8 Os 2.74-2.81, 4 Mo 2.81
Mo (0.0000, 0.5000, 0.7500)  8 Os 2.74-2.81, 4 Ag 2.81
Mo (0.5000, 0.0000, 0.2500)  8 Os 2.74-2.81, 4 Ag 2.81
Os (0.0000, 0.0000, 0.5000)  4 Ag 2.74, 4 Mo 2.81, 4 Os 2.81
Os (0.0000, 0.5000, 0.2500)  4 Mo 2.74, 4 Os 2.81, 4 Ag 2.81
Os (0.5000, 0.0000, 0.7500)  4 Mo 2.74, 4 Os 2.81, 4 Ag 2.81
Os (0.5000, 0.5000, 0.0000)  4 Ag 2.74, 4 Mo 2.81, 4 Os 2.81

Results
* energy relative to the lowest polymorph listed for this composition: 0.307 eV per atom
* spin magnetization: 0.0 Bohr magnetons per cell
* VASP energy: -8.455 eV per atom
* energy of formation from the pure elements: 0.58 eV/atom

Computed, not measured: a relaxed structure of AgMo2Os at the PBE level of DFT.

abc: 9.3687 2.8239 4.8786
angles: 90.00 100.92 90.00
Last column: nearest neighbours and their distance in Å.
Atoms (fractional coordinates):
Ag (0.0000, 0.0000, 0.0000)  7 Mo 2.78-2.85, 2 Ag 2.82, 3 Os 2.88-2.89
Ag (0.5000, 0.5000, 0.0000)  7 Mo 2.78-2.85, 2 Ag 2.82, 3 Os 2.88-2.89
Mo (0.0079, 0.5000, 0.5111)  3 Os 2.66-2.85, 4 Ag 2.78-2.85, 5 Mo 2.82-2.86
Mo (0.2568, 0.5000, 0.2490)  4 Os 2.72-2.92, 3 Ag 2.78-2.85, 5 Mo 2.82-2.86
Mo (0.5079, 0.0000, 0.5111)  3 Os 2.66-2.85, 4 Ag 2.78-2.85, 5 Mo 2.82-2.86
Mo (0.7568, 0.0000, 0.2490)  4 Os 2.72-2.92, 3 Ag 2.78-2.85, 5 Mo 2.82-2.86
Os (0.2441, 0.0000, 0.7208)  7 Mo 2.66-2.92, 2 Os 2.82, 3 Ag 2.88-2.89
Os (0.7441, 0.5000, 0.7208)  7 Mo 2.66-2.92, 2 Os 2.82, 3 Ag 2.88-2.89

Results
* energy relative to the lowest polymorph listed for this composition: 0.153 eV per atom
* spin magnetization: 0.0 Bohr magnetons per cell
* VASP energy: -8.502 eV per atom
* energy of formation from the pure elements: 0.43 eV/atom

Computed, not measured: a relaxed structure of AgMoOs4 at the PBE level of DFT.

abc: 5.1427 5.1427 5.1427
angles: 60.00 60.00 60.00
Last column: nearest neighbours and their distance in Å.
Atoms (fractional coordinates):
Ag (0.0000, 0.0000, 0.0000)  12 Os 3.01, 4 Mo 3.15
Mo (0.2500, 0.2500, 0.2500)  12 Os 3.02, 4 Ag 3.15
Os (0.1244, 0.6252, 0.6252)  6 Os 2.57-2.58
Os (0.6252, 0.1244, 0.6252)  6 Os 2.57-2.58
Os (0.6252, 0.6252, 0.1244)  6 Os 2.57-2.58
Os (0.6252, 0.6252, 0.6252)  6 Os 2.57-2.58

Results
* spin magnetization: 0.0 Bohr magnetons per cell
* VASP energy: -9.133 eV per atom
* energy of formation from the pure elements: 0.63 eV/atom

Computed, not measured: a relaxed structure of AgMoOs2 at the PBE level of DFT.

abc: 6.2867 6.2867 6.2867
angles: 90.00 90.00 90.00
Last column: nearest neighbours and their distance in Å.
Atoms (fractional coordinates):
Ag (0.0000, 0.0000, 0.0000)  4 Os 2.72, 4 Mo 2.72
Ag (0.0000, 0.5000, 0.5000)  4 Os 2.72, 4 Mo 2.72
Ag (0.5000, 0.0000, 0.5000)  4 Os 2.72, 4 Mo 2.72
Ag (0.5000, 0.5000, 0.0000)  4 Os 2.72, 4 Mo 2.72
Mo (0.2500, 0.2500, 0.2500)  4 Os 2.72, 4 Ag 2.72
Mo (0.2500, 0.7500, 0.7500)  4 Os 2.72, 4 Ag 2.72
Mo (0.7500, 0.2500, 0.7500)  4 Os 2.72, 4 Ag 2.72
Mo (0.7500, 0.7500, 0.2500)  4 Os 2.72, 4 Ag 2.72
Os (0.0000, 0.0000, 0.5000)  4 Mo 2.72, 4 Os 2.72
Os (0.0000, 0.5000, 0.0000)  4 Mo 2.72, 4 Os 2.72
Os (0.2500, 0.2500, 0.7500)  4 Os 2.72, 4 Ag 2.72
Os (0.2500, 0.7500, 0.2500)  4 Os 2.72, 4 Ag 2.72
Os (0.5000, 0.0000, 0.0000)  4 Mo 2.72, 4 Os 2.72
Os (0.5000, 0.5000, 0.5000)  4 Mo 2.72, 4 Os 2.72
Os (0.7500, 0.2500, 0.2500)  4 Os 2.72, 4 Ag 2.72
Os (0.7500, 0.7500, 0.7500)  4 Os 2.72, 4 Ag 2.72

Results
* energy relative to the lowest polymorph listed for this composition: 0.507 eV per atom
* spin magnetization: 0.0 Bohr magnetons per cell
* VASP energy: -8.256 eV per atom
* energy of formation from the pure elements: 0.78 eV/atom

Computed, not measured: a relaxed structure of AgMo2Os at the PBE level of DFT.

abc: 7.2816 7.2816 5.3730
angles: 90.00 90.00 90.00
Last column: nearest neighbours and their distance in Å.
Atoms (fractional coordinates):
Ag (0.0000, 0.0000, 0.0000)  2 Os 2.69, 4 Mo 2.87
Ag (0.0000, 0.5000, 0.2500)  2 Os 2.69, 4 Mo 2.87
Ag (0.5000, 0.0000, 0.7500)  2 Os 2.69, 4 Mo 2.87
Ag (0.5000, 0.5000, 0.5000)  2 Os 2.69, 4 Mo 2.87
Mo (0.2089, 0.2500, 0.6250)  2 Os 2.47, 2 Mo 2.75
Mo (0.2500, 0.7089, 0.8750)  2 Os 2.47, 2 Mo 2.75
Mo (0.2500, 0.7911, 0.3750)  2 Os 2.47, 2 Mo 2.75
Mo (0.2911, 0.2500, 0.1250)  2 Os 2.47, 2 Mo 2.75
Mo (0.7089, 0.7500, 0.1250)  2 Os 2.47, 2 Mo 2.75
Mo (0.7500, 0.2089, 0.3750)  2 Os 2.47, 2 Mo 2.75
Mo (0.7500, 0.2911, 0.8750)  2 Os 2.47, 2 Mo 2.75
Mo (0.7911, 0.7500, 0.6250)  2 Os 2.47, 2 Mo 2.75
Os (0.0000, 0.0000, 0.5000)  4 Mo 2.47, 2 Ag 2.69
Os (0.0000, 0.5000, 0.7500)  4 Mo 2.47, 2 Ag 2.69
Os (0.5000, 0.0000, 0.2500)  4 Mo 2.47, 2 Ag 2.69
Os (0.5000, 0.5000, 0.0000)  4 Mo 2.47, 2 Ag 2.69

Results
* energy relative to the lowest polymorph listed for this composition: 0.578 eV per atom
* spin magnetization: 0.0 Bohr magnetons per cell
* VASP energy: -8.076 eV per atom
* energy of formation from the pure elements: 0.86 eV/atom

Computed, not measured: a relaxed structure of AgMoOs2 at the PBE level of DFT.

abc: 2.7642 2.7642 28.1518
angles: 90.00 90.00 120.00
Last column: nearest neighbours and their distance in Å.
Atoms (fractional coordinates):
Ag (0.0000, 0.0000, 0.0000)  6 Ag 2.76, 3 Os 2.94, 3 Mo 2.98
Ag (0.3333, 0.6667, 0.6667)  6 Ag 2.76, 3 Os 2.94, 3 Mo 2.98
Ag (0.6667, 0.3333, 0.3333)  6 Ag 2.76, 3 Os 2.94, 3 Mo 2.98
Mo (0.0000, 0.0000, 0.2439)  3 Os 2.75, 6 Mo 2.76, 3 Ag 2.98
Mo (0.3333, 0.6667, 0.9105)  3 Os 2.75, 6 Mo 2.76, 3 Ag 2.98
Mo (0.6667, 0.3333, 0.5772)  3 Os 2.75, 6 Mo 2.76, 3 Ag 2.98
Os (0.0000, 0.0000, 0.4976)  9 Os 2.68-2.76, 3 Mo 2.75
Os (0.0000, 0.0000, 0.7545)  9 Os 2.68-2.76, 3 Ag 2.94
Os (0.3333, 0.6667, 0.1643)  9 Os 2.68-2.76, 3 Mo 2.75
Os (0.3333, 0.6667, 0.4211)  9 Os 2.68-2.76, 3 Ag 2.94
Os (0.6667, 0.3333, 0.0878)  9 Os 2.68-2.76, 3 Ag 2.94
Os (0.6667, 0.3333, 0.8309)  9 Os 2.68-2.76, 3 Mo 2.75

Results
* energy relative to the lowest polymorph listed for this composition: 0.085 eV per atom
* spin magnetization: 0.0 Bohr magnetons per cell
* VASP energy: -8.677 eV per atom
* energy of formation from the pure elements: 0.36 eV/atom

Computed, not measured: a relaxed structure of Ag4MoOs at the PBE level of DFT.

abc: 5.2422 5.2422 5.2422
angles: 60.00 60.00 60.00
Last column: nearest neighbours and their distance in Å.
Atoms (fractional coordinates):
Ag (0.1251, 0.1251, 0.1251)  6 Ag 2.62
Ag (0.1251, 0.1251, 0.6246)  6 Ag 2.62
Ag (0.1251, 0.6246, 0.1251)  6 Ag 2.62
Ag (0.6246, 0.1251, 0.1251)  6 Ag 2.62
Mo (0.7500, 0.7500, 0.7500)  12 Ag 3.07, 4 Os 3.21
Os (0.5000, 0.5000, 0.5000)  12 Ag 3.07, 4 Mo 3.21

Results
* spin magnetization: 0.0 Bohr magnetons per cell
* VASP energy: -4.648 eV per atom
* energy of formation from the pure elements: 0.93 eV/atom

Computed, not measured: a relaxed structure of AgMo2Os at the PBE level of DFT.

abc: 4.7649 4.7649 2.8091
angles: 90.00 90.00 90.00
Last column: nearest neighbours and their distance in Å.
Atoms (fractional coordinates):
Ag (0.0000, 0.0000, 0.0000)  8 Mo 2.77, 2 Ag 2.81
Mo (0.0000, 0.5000, 0.5000)  4 Os 2.77, 4 Ag 2.77, 2 Mo 2.81
Mo (0.5000, 0.0000, 0.5000)  4 Os 2.77, 4 Ag 2.77, 2 Mo 2.81
Os (0.5000, 0.5000, 0.0000)  8 Mo 2.77, 2 Os 2.81

Results
* energy relative to the lowest polymorph listed for this composition: 0.317 eV per atom
* spin magnetization: 0.0 Bohr magnetons per cell
* VASP energy: -8.337 eV per atom
* energy of formation from the pure elements: 0.60 eV/atom